# Cs2ErMn3F12

A relaxed structure of Cs2ErMn3F12 (GGA+U, the Alexandria database).

Summary:
Total magnetic moment ... 0.78 μB/atom
Total energy ... -105.81 eV/cell
Volume ... 18.515 Å³ per atom

Structure (POSCAR):
```
Cs2ErMn3F12
1.0
3.8339 2.2135 6.5452
-3.8339 2.2135 6.5452
0.0000 -4.4270 6.5452
Cs Er Mn F
2 1 3 12
Direct
0.1168 0.1168 0.1168 Cs
0.8832 0.8832 0.8832 Cs
0.5000 0.5000 0.5000 Er
0.0000 0.5000 0.5000 Mn
0.5000 0.0000 0.5000 Mn
0.5000 0.5000 0.0000 Mn
0.1654 0.5789 0.5789 F
0.1915 0.1915 0.5737 F
0.1915 0.5737 0.1915 F
0.4211 0.4211 0.8346 F
0.4211 0.8346 0.4211 F
0.4263 0.8085 0.8085 F
0.5737 0.1915 0.1915 F
0.5789 0.1655 0.5789 F
0.5789 0.5789 0.1655 F
0.8085 0.4263 0.8085 F
0.8085 0.8085 0.4263 F
0.8346 0.4211 0.4211 F
```